Entry A
Density functional theory data (GGA-PBE) for a relaxed GdCuRh2 crystal.

Values from the calculation:
Spin magnetization: 6.98 μB/cell
Density of states at the Fermi level: 1.58 states/eV/cell
Theoretical density: 10.62 g/cm³

a b c (Å): 4.552 4.552 4.552
angles (deg): 60.00 60.00 60.00
Fractional coordinates of all 4 atoms:
1 Gd 0.000 0.000 0.000
2 Rh 0.250 0.250 0.250
3 Rh 0.750 0.750 0.750
4 Cu 0.500 0.500 0.500


Entry B
Density functional theory data (GGA-PBE) for a relaxed GdCuRh2 crystal.

Values from the calculation:
Spin magnetization: 6.93 μB/cell
Density of states at the Fermi level: 5.25 states/eV/cell
Theoretical density: 10.67 g/cm³

a b c (Å): 3.899 4.127 4.127
angles (deg): 90.00 90.00 90.00
Fractional coordinates of all 4 atoms:
1 Gd 0.500 0.000 0.000
2 Rh 0.000 0.000 0.500
3 Rh 0.000 0.500 0.000
4 Cu 0.500 0.500 0.500


Which is most stable, and by how much? entry B, by 0.051 eV/atom.


Entry A
Density functional theory data (GGA-PBE) for a relaxed GdCuRu crystal.

Values from the calculation:
Spin magnetization: 6.99 μB/cell
Density of states at the Fermi level: 1.98 states/eV/cell
Theoretical density: 9.83 g/cm³

a b c (Å): 3.410 3.410 5.263
angles (deg): 108.90 108.90 90.00
Fractional coordinates of all 3 atoms:
1 Ru 0.259 0.259 0.518
2 Gd 0.945 0.945 0.891
3 Cu 0.646 0.646 0.291


Entry B
Density functional theory data (GGA-PBE) for a relaxed GdCuRu crystal.

Values from the calculation:
Spin magnetization: 7.02 μB/cell
Density of states at the Fermi level: 2.41 states/eV/cell
Theoretical density: 9.31 g/cm³

a b c (Å): 3.654 4.259 4.259
angles (deg): 120.00 90.00 90.00
Fractional coordinates of all 3 atoms:
1 Ru 0.167 0.333 0.667
2 Gd 0.667 0.667 0.333
3 Cu 0.166 0.000 0.000


Which is most stable, and by how much? entry B, by 0.047 eV/atom.


Entry A
Density functional theory data (GGA-PBE) for a relaxed GdScCu crystal.

Values from the calculation:
Spin magnetization: 7.91 μB/cell
Density of states at the Fermi level: 3.26 states/eV/cell
Theoretical density: 6.50 g/cm³

a b c (Å): 3.387 3.387 6.384
angles (deg): 105.38 105.38 90.00
Fractional coordinates of all 3 atoms:
1 Sc 0.300 0.300 0.600
2 Gd 0.018 0.018 0.035
3 Cu 0.683 0.683 0.365


Entry B
Density functional theory data (GGA-PBE) for a relaxed GdScCu crystal.

Values from the calculation:
Spin magnetization: 7.49 μB/cell
Density of states at the Fermi level: 3.55 states/eV/cell
Theoretical density: 6.34 g/cm³

a b c (Å): 3.765 4.622 4.622
angles (deg): 120.00 90.00 90.00
Fractional coordinates of all 3 atoms:
1 Sc 0.166 0.333 0.667
2 Gd 0.667 0.667 0.333
3 Cu 0.167 0.000 0.000


Which is most stable, and by how much? entry A, by 0.151 eV/atom.


Entry A
Density functional theory data (GGA-PBE) for a relaxed Gd2ScCu crystal.

Values from the calculation:
Spin magnetization: 14.70 μB/cell
Density of states at the Fermi level: 5.64 states/eV/cell
Theoretical density: 6.54 g/cm³

a b c (Å): 3.356 3.356 11.190
angles (deg): 81.38 81.38 60.00
Fractional coordinates of all 4 atoms:
1 Sc 0.500 0.500 0.500
2 Gd 0.085 0.085 0.746
3 Gd 0.915 0.915 0.254
4 Cu 0.000 0.000 0.000


Entry B
Density functional theory data (GGA-PBE) for a relaxed Gd2ScCu crystal.

Values from the calculation:
Spin magnetization: 15.22 μB/cell
Density of states at the Fermi level: 5.80 states/eV/cell
Theoretical density: 6.98 g/cm³

a b c (Å): 3.515 3.515 8.147
angles (deg): 90.00 90.00 90.00
Fractional coordinates of all 4 atoms:
1 Sc 0.500 0.500 0.500
2 Gd 0.000 0.000 0.786
3 Gd 0.000 0.000 0.214
4 Cu 0.500 0.500 0.000


Which is most stable, and by how much? entry B, by 0.479 eV/atom.


Entry A
Density functional theory data (GGA-PBE) for a relaxed SmGdCu2 crystal.

Values from the calculation:
Spin magnetization: 7.24 μB/cell
Density of states at the Fermi level: 3.49 states/eV/cell
Theoretical density: 8.21 g/cm³

a b c (Å): 4.992 4.992 4.992
angles (deg): 60.00 60.00 60.00
Fractional coordinates of all 4 atoms:
1 Gd 0.000 0.000 0.000
2 Cu 0.250 0.250 0.250
3 Cu 0.750 0.750 0.750
4 Sm 0.500 0.500 0.500


Entry B
Density functional theory data (GGA-PBE) for a relaxed SmGdCu2 crystal.

Values from the calculation:
Spin magnetization: 7.13 μB/cell
Density of states at the Fermi level: 2.76 states/eV/cell
Theoretical density: 8.23 g/cm³

a b c (Å): 3.514 4.998 4.998
angles (deg): 90.00 90.00 90.00
Fractional coordinates of all 4 atoms:
1 Gd 0.500 0.500 0.500
2 Cu 0.000 0.000 0.500
3 Cu 0.000 0.500 0.000
4 Sm 0.500 0.000 0.000


Which is most stable, and by how much? entry B, by 0.006 eV/atom.


Entry A
Density functional theory data (GGA-PBE) for a relaxed TbGdCu crystal.

Values from the calculation:
Spin magnetization: 7.93 μB/cell
Density of states at the Fermi level: 3.66 states/eV/cell
Theoretical density: 8.31 g/cm³

a b c (Å): 3.521 3.521 6.603
angles (deg): 105.46 105.46 90.00
Fractional coordinates of all 3 atoms:
1 Gd 0.309 0.309 0.617
2 Tb 0.028 0.028 0.056
3 Cu 0.664 0.664 0.327


Entry B
Density functional theory data (GGA-PBE) for a relaxed TbGdCu crystal.

Values from the calculation:
Spin magnetization: 7.27 μB/cell
Density of states at the Fermi level: 3.19 states/eV/cell
Theoretical density: 8.38 g/cm³

a b c (Å): 3.771 4.801 4.801
angles (deg): 120.00 90.00 90.00
Fractional coordinates of all 3 atoms:
1 Gd 0.275 0.333 0.667
2 Tb 0.737 0.667 0.333
3 Cu 0.987 0.000 0.000


Which is most stable, and by how much? entry A, by 0.182 eV/atom.


Entry A
Density functional theory data (GGA-PBE) for a relaxed TbGd2Cu crystal.

Values from the calculation:
Spin magnetization: 14.66 μB/cell
Density of states at the Fermi level: 5.48 states/eV/cell
Theoretical density: 8.24 g/cm³

a b c (Å): 3.538 3.538 8.642
angles (deg): 90.00 90.00 90.00
Fractional coordinates of all 4 atoms:
1 Gd 0.000 0.000 0.800
2 Gd 0.000 0.000 0.200
3 Tb 0.500 0.500 0.500
4 Cu 0.500 0.500 0.000


Entry B
Density functional theory data (GGA-PBE) for a relaxed TbGd2Cu crystal.

Values from the calculation:
Spin magnetization: 14.88 μB/cell
Density of states at the Fermi level: 5.33 states/eV/cell
Theoretical density: 7.62 g/cm³

a b c (Å): 3.463 3.463 11.444
angles (deg): 81.30 81.30 60.00
Fractional coordinates of all 4 atoms:
1 Gd 0.082 0.082 0.754
2 Gd 0.918 0.918 0.246
3 Tb 0.500 0.500 0.500
4 Cu 0.000 0.000 0.000


Which is most stable, and by how much? entry A, by 0.499 eV/atom.